Density functional theory data (PBE+U) for crystalline In3WF at its relaxed geometry.

abc: 5.554 5.554 5.554
angles: 90.00 90.00 90.00
Atoms (fractional coordinates):
In 0.000 0.000 0.500
In 0.000 0.500 0.000
In 0.500 0.000 0.000
W 0.000 0.000 0.000
F 0.500 0.500 0.500

Values from the calculation:
* volume: 171.3 Å³/f.u.
* M_tot: 4.00 μB/cell
* uncorrected energy: -3.10 eV/atom
* relative energy among the computed polymorphs: 0.251 eV per atom